Record 1
Below is a relaxed Pa2B3Ru2 crystal, with properties calculated at the PBE level.

Cell lengths 5.784, 5.784, 5.425 Å; angles 115.17, 115.17, 38.53 degrees
Fractional positions:
Pa 0.109 0.109 0.273
Pa 0.891 0.891 0.727
B 0.405 0.405 0.147
B 0.500 0.500 0.500
B 0.595 0.595 0.853
Ru 0.186 0.186 0.804
Ru 0.814 0.814 0.196

Output
For the total energy, the calculation gives -8.50 eV/atom. Its density of states at the Fermi level is 6.41 states/eV/cell. The magnetization comes out at 0.0 μB per cell.



Record 2
Below is a relaxed PuCdInPd crystal, with properties calculated at the PBE level.

Cell lengths 3.199, 3.199, 8.638 Å; angles 90.00, 90.00, 90.00 degrees
Fractional positions:
Pu 0.000 0.000 0.000
Cd 0.500 0.500 0.710
In 0.000 0.000 0.438
Pd 0.500 0.500 0.241

Output
For the total energy, the calculation gives -6.02 eV/atom. Its density of states at the Fermi level is 8.21 states/eV/cell. The magnetization comes out at 5.8 μB per cell. The calculation puts the energy above the most stable polymorph in this dataset at 0 meV/atom.



Record 3
Below is a relaxed AcHo2Os crystal, with properties calculated at the PBE level.

Cell lengths 3.485, 3.485, 9.474 Å; angles 90.00, 90.00, 90.00 degrees
Fractional positions:
Ac 0.000 0.000 0.000
Ho 0.500 0.500 0.330
Ho 0.500 0.500 0.670
Os 0.000 0.000 0.500

Output
For the total energy, the calculation gives -6.23 eV/atom. Its density of states at the Fermi level is 2.91 states/eV/cell. The magnetization comes out at 0.0 μB per cell. The calculation puts the energy above the most stable polymorph in this dataset at 0 meV/atom.



Record 4
Below is a relaxed Tb2Er2Tl5 crystal, with properties calculated at the PBE level.

Cell lengths 9.725, 9.725, 9.725 Å; angles 76.64, 137.20, 119.83 degrees
Fractional positions:
Tb 0.039 0.130 0.169
Tb 0.039 0.370 0.408
Tb 0.961 0.630 0.592
Tb 0.961 0.870 0.831
Er 0.435 0.435 0.000
Er 0.435 0.935 0.500
Er 0.531 0.805 0.226
Er 0.579 0.305 0.774
Tl 0.059 0.424 0.935
Tl 0.059 0.624 0.134
Tl 0.074 0.030 0.544
Tl 0.486 0.530 0.456
Tl 0.490 0.124 0.065
Tl 0.490 0.924 0.866
Tl 0.521 0.263 0.354
Tl 0.521 0.667 0.759
Tl 0.908 0.167 0.646
Tl 0.908 0.763 0.241

Output
For the total energy, the calculation gives -3.49 eV/atom. Its density of states at the Fermi level is 14.77 states/eV/cell. The magnetization comes out at 0.0 μB per cell.